{"formula": "Nd6In3Ru", "functional": "PBE", "state": "relaxed", "lattice": [[5.4273, 0.0000, 0.0340], [0.0000, 9.3021, 0.0000], [-0.0886, 0.0000, 11.8395]], "species": ["Nd", "Nd", "Nd", "Nd", "Nd", "Nd", "Nd", "Nd", "Nd", "Nd", "Nd", "Nd", "In", "In", "In", "In", "In", "In", "Ru", "Ru"], "fractional_positions": [[0.5021, 0.1528, 0.9184], [0.5011, 0.1919, 0.5765], [0.5019, 0.4900, 0.2625], [0.4981, 0.5100, 0.7375], [0.4989, 0.8081, 0.4235], [0.4979, 0.8472, 0.0816], [0.0021, 0.3472, 0.4184], [0.0011, 0.3081, 0.0765], [0.0019, 0.0100, 0.7625], [0.9981, 0.9900, 0.2375], [0.9989, 0.6919, 0.9235], [0.9979, 0.6528, 0.5816], [0.5016, 0.8449, 0.7335], [0.5000, 0.5000, 0.0000], [0.4984, 0.1551, 0.2665], [0.0016, 0.6551, 0.2335], [0.0000, 0.0000, 0.5000], [0.9984, 0.3449, 0.7665], [0.5000, 0.5000, 0.5000], [0.0000, 0.0000, 0.0000]], "formation_energy_ev_per_fu": -2.90, "polymorph_energy_mev_per_atom": 26, "energy_ev_per_atom": -4.90, "crystal_system": "monoclinic"}